# 1
A plane-wave DFT calculation with PBE was carried out for B4OsAu after structural relaxation.

Output
energy above the lowest structure with this stoichiometry: 151.6 meV per atom
uncorrected energy: -6.15 eV per atom
volume: 58 Å³/cell

Cell: 4.708 4.708 4.708 Å, 142.28 111.35 81.08°
Positions (direct):
B  0.093  0.755  0.338
B  0.907  0.245  0.662
B  0.416  0.755  0.662
B  0.584  0.245  0.338
Os  0.500  0.500  0.000
Au  0.000  0.000  0.000

---

# 2
A plane-wave DFT calculation with PBE was carried out for B4OsAu after structural relaxation.

Output
energy above the lowest structure with this stoichiometry: 1.4 meV per atom
uncorrected energy: -6.30 eV per atom
volume: 62 Å³/cell

Cell: 2.940 2.940 8.240 Å, 90.00 90.00 120.00°
Positions (direct):
B  0.667  0.333  0.290
B  0.333  0.667  0.710
B  0.667  0.333  0.710
B  0.333  0.667  0.290
Os  0.000  0.000  0.500
Au  0.000  0.000  0.000

---

# 3
A plane-wave DFT calculation with PBE was carried out for B4OsAu after structural relaxation.

Output
energy above the lowest structure with this stoichiometry: 0.0 meV per atom
uncorrected energy: -6.30 eV per atom
volume: 62 Å³/cell

Cell: 2.942 2.942 8.291 Å, 90.00 90.00 120.00°
Positions (direct):
B  0.667  0.333  0.792
B  0.667  0.333  0.208
B  0.333  0.667  0.792
B  0.333  0.667  0.208
Os  0.000  0.000  0.000
Au  0.000  0.000  0.500

---

# 4
A plane-wave DFT calculation with PBE was carried out for BOsAu2 after structural relaxation.

Output
uncorrected energy: -4.94 eV per atom
volume: 59 Å³/cell

Cell: 4.360 4.360 4.360 Å, 60.00 60.00 60.00°
Positions (direct):
Au  0.000  0.000  0.000
Au  0.750  0.750  0.750
B  0.500  0.500  0.500
Os  0.250  0.250  0.250

---

# 5
A plane-wave DFT calculation with PBE was carried out for BTeOsAu after structural relaxation.

Output
energy above the lowest structure with this stoichiometry: 0.0 meV per atom
uncorrected energy: -4.71 eV per atom
volume: 65 Å³/cell

Cell: 4.510 4.510 4.510 Å, 60.00 60.00 60.00°
Positions (direct):
Os  0.250  0.250  0.250
B  0.000  0.000  0.000
Au  0.750  0.750  0.750
Te  0.500  0.500  0.500

---

# 6
A plane-wave DFT calculation with PBE was carried out for B2PbAu after structural relaxation.

Output
uncorrected energy: -3.33 eV per atom
volume: 68 Å³/cell

Cell: 4.580 4.580 4.580 Å, 60.00 60.00 60.00°
Positions (direct):
B  0.000  0.000  0.000
B  0.750  0.750  0.750
Pb  0.500  0.500  0.500
Au  0.250  0.250  0.250

---

# 7
A plane-wave DFT calculation with PBE was carried out for BPtPbAu after structural relaxation.

Output
energy above the lowest structure with this stoichiometry: 0.0 meV per atom
uncorrected energy: -4.05 eV per atom
volume: 72 Å³/cell

Cell: 4.663 4.663 4.663 Å, 60.00 60.00 60.00°
Positions (direct):
Pb  0.250  0.250  0.250
Au  0.750  0.750  0.750
B  0.000  0.000  0.000
Pt  0.500  0.500  0.500

---

# 8
A plane-wave DFT calculation with PBE was carried out for B4PdAu after structural relaxation.

Output
energy above the lowest structure with this stoichiometry: 2.7 meV per atom
uncorrected energy: -5.37 eV per atom
volume: 62 Å³/cell

Cell: 3.000 3.000 8.015 Å, 90.00 90.00 120.00°
Positions (direct):
B  0.667  0.333  0.772
B  0.333  0.667  0.228
B  0.667  0.333  0.228
B  0.333  0.667  0.772
Pd  0.000  0.000  0.000
Au  0.000  0.000  0.500

---

# 9
A plane-wave DFT calculation with PBE was carried out for B4PdAu after structural relaxation.

Output
energy above the lowest structure with this stoichiometry: 0.0 meV per atom
uncorrected energy: -5.37 eV per atom
volume: 62 Å³/cell

Cell: 4.962 4.962 4.962 Å, 143.45 119.50 72.80°
Positions (direct):
B  0.445  0.758  0.688
B  0.930  0.242  0.688
B  0.070  0.758  0.312
B  0.555  0.242  0.312
Au  0.000  0.000  0.000
Pd  0.500  0.500  0.000

---

# 10
A plane-wave DFT calculation with PBE was carried out for BPd2Au after structural relaxation.

Output
uncorrected energy: -4.49 eV per atom
volume: 57 Å³/cell

Cell: 4.309 4.309 4.309 Å, 60.00 60.00 60.00°
Positions (direct):
B  0.500  0.500  0.500
Pd  0.000  0.000  0.000
Pd  0.750  0.750  0.750
Au  0.250  0.250  0.250

---

# 11
A plane-wave DFT calculation with PBE was carried out for BPdAu after structural relaxation.

Output
uncorrected energy: -4.01 eV per atom
volume: 49 Å³/cell

Cell: 4.119 4.119 4.119 Å, 60.00 60.00 60.00°
Positions (direct):
Pd  0.000  0.000  0.000
B  0.750  0.750  0.750
Au  0.250  0.250  0.250

---

# 12
A plane-wave DFT calculation with PBE was carried out for PmB4Au after structural relaxation.

Output
energy above the lowest structure with this stoichiometry: 0.0 meV per atom
uncorrected energy: -5.77 eV per atom
volume: 72 Å³/cell

Cell: 5.246 5.246 5.246 Å, 144.46 119.17 72.48°
Positions (direct):
B  0.549  0.235  0.314
B  0.920  0.235  0.686
B  0.080  0.765  0.314
B  0.451  0.765  0.686
Pm  0.500  0.500  0.000
Au  0.000  0.000  0.000

---

# 13
A plane-wave DFT calculation with PBE was carried out for PmBAu after structural relaxation.

Output
energy above the lowest structure with this stoichiometry: 0.0 meV per atom
uncorrected energy: -4.93 eV per atom
volume: 58 Å³/cell

Cell: 4.355 4.355 4.355 Å, 60.00 60.00 60.00°
Positions (direct):
Pm  0.750  0.750  0.750
B  0.000  0.000  0.000
Au  0.250  0.250  0.250

---

# 14
A plane-wave DFT calculation with PBE was carried out for PmBAu after structural relaxation.

Output
energy above the lowest structure with this stoichiometry: 678.9 meV per atom
uncorrected energy: -4.25 eV per atom
volume: 71 Å³/cell

Cell: 4.650 4.650 4.650 Å, 60.00 60.00 60.00°
Positions (direct):
Pm  0.000  0.000  0.000
Au  0.250  0.250  0.250
B  0.750  0.750  0.750

---

# 15
A plane-wave DFT calculation with PBE was carried out for PmB4Au after structural relaxation.

Output
energy above the lowest structure with this stoichiometry: 139.7 meV per atom
uncorrected energy: -5.63 eV per atom
volume: 68 Å³/cell

Cell: 3.256 3.256 7.459 Å, 90.00 90.00 120.00°
Positions (direct):
B  0.333  0.667  0.264
B  0.333  0.667  0.736
B  0.667  0.333  0.264
B  0.667  0.333  0.736
Au  0.000  0.000  0.500
Pm  0.000  0.000  0.000

---

# 16
A plane-wave DFT calculation with PBE was carried out for PrBAu after structural relaxation.

Output
energy above the lowest structure with this stoichiometry: 0.0 meV per atom
uncorrected energy: -4.88 eV per atom
volume: 61 Å³/cell

Cell: 4.415 4.415 4.415 Å, 60.00 60.00 60.00°
Positions (direct):
Pr  0.750  0.750  0.750
B  0.000  0.000  0.000
Au  0.250  0.250  0.250

---

# 17
A plane-wave DFT calculation with PBE was carried out for PrBAu after structural relaxation.

Output
energy above the lowest structure with this stoichiometry: 655.8 meV per atom
uncorrected energy: -4.23 eV per atom
volume: 74 Å³/cell

Cell: 4.719 4.719 4.719 Å, 60.00 60.00 60.00°
Positions (direct):
Au  0.250  0.250  0.250
Pr  0.000  0.000  0.000
B  0.750  0.750  0.750

---

# 18
A plane-wave DFT calculation with PBE was carried out for PrBAu after structural relaxation.

Output
energy above the lowest structure with this stoichiometry: 22.3 meV per atom
uncorrected energy: -4.86 eV per atom
volume: 59 Å³/cell

Cell: 3.965 3.965 3.965 Å, 78.64 78.64 78.64°
Positions (direct):
Pr  0.478  0.478  0.478
Au  0.054  0.054  0.054
B  0.798  0.798  0.798

---

# 19
A plane-wave DFT calculation with PBE was carried out for BPt3Au after structural relaxation.

Output
uncorrected energy: -5.81 eV per atom
volume: 149 Å³/cell

Cell: 5.674 5.674 5.565 Å, 105.02 105.02 60.32°
Positions (direct):
B  0.332  0.332  0.999
B  0.668  0.668  0.001
Pt  0.047  0.542  0.269
Pt  0.545  0.545  0.268
Pt  0.953  0.458  0.731
Pt  0.458  0.953  0.731
Pt  0.542  0.047  0.269
Pt  0.455  0.455  0.732
Au  0.045  0.045  0.268
Au  0.955  0.955  0.732

---

# 20
A plane-wave DFT calculation with PBE was carried out for BPtAu after structural relaxation.

Output
uncorrected energy: -4.35 eV per atom
volume: 50 Å³/cell

Cell: 4.135 4.135 4.135 Å, 60.00 60.00 60.00°
Positions (direct):
B  0.750  0.750  0.750
Pt  0.000  0.000  0.000
Au  0.250  0.250  0.250

---

# 21
A plane-wave DFT calculation with PBE was carried out for SiBPtAu after structural relaxation.

Output
energy above the lowest structure with this stoichiometry: 229.9 meV per atom
uncorrected energy: -4.52 eV per atom
volume: 59 Å³/cell

Cell: 4.362 4.362 4.362 Å, 60.00 60.00 60.00°
Positions (direct):
Pt  0.500  0.500  0.500
B  0.000  0.000  0.000
Au  0.750  0.750  0.750
Si  0.250  0.250  0.250

---

# 22
A plane-wave DFT calculation with PBE was carried out for SiBPtAu after structural relaxation.

Output
energy above the lowest structure with this stoichiometry: 0.0 meV per atom
uncorrected energy: -4.75 eV per atom
volume: 55 Å³/cell

Cell: 4.263 4.263 4.263 Å, 60.00 60.00 60.00°
Positions (direct):
B  0.500  0.500  0.500
Pt  0.250  0.250  0.250
Au  0.750  0.750  0.750
Si  0.000  0.000  0.000

---

# 23
A plane-wave DFT calculation with PBE was carried out for SnBPtAu after structural relaxation.

Output
energy above the lowest structure with this stoichiometry: 0.0 meV per atom
uncorrected energy: -4.29 eV per atom
volume: 66 Å³/cell

Cell: 4.537 4.537 4.537 Å, 60.00 60.00 60.00°
Positions (direct):
B  0.500  0.500  0.500
Au  0.750  0.750  0.750
Pt  0.250  0.250  0.250
Sn  0.000  0.000  0.000

---

# 24
A plane-wave DFT calculation with PBE was carried out for ZrBPtAu after structural relaxation.

Output
energy above the lowest structure with this stoichiometry: 27.4 meV per atom
uncorrected energy: -6.08 eV per atom
volume: 64 Å³/cell

Cell: 4.486 4.486 4.486 Å, 60.00 60.00 60.00°
Positions (direct):
Zr  0.250  0.250  0.250
B  0.000  0.000  0.000
Au  0.750  0.750  0.750
Pt  0.500  0.500  0.500

---

# 25
A plane-wave DFT calculation with PBE was carried out for ZrBPtAu after structural relaxation.

Output
energy above the lowest structure with this stoichiometry: 0.0 meV per atom
uncorrected energy: -6.11 eV per atom
volume: 63 Å³/cell

Cell: 4.465 4.465 4.465 Å, 60.00 60.00 60.00°
Positions (direct):
Au  0.750  0.750  0.750
Pt  0.500  0.500  0.500
Zr  0.000  0.000  0.000
B  0.250  0.250  0.250

---

# 26
A plane-wave DFT calculation with PBE was carried out for ZrBPtAu after structural relaxation.

Output
energy above the lowest structure with this stoichiometry: 168.0 meV per atom
uncorrected energy: -5.94 eV per atom
volume: 65 Å³/cell

Cell: 4.508 4.508 4.508 Å, 60.00 60.00 60.00°
Positions (direct):
Zr  0.000  0.000  0.000
Au  0.750  0.750  0.750
Pt  0.250  0.250  0.250
B  0.500  0.500  0.500

---

# 27
A plane-wave DFT calculation with PBE was carried out for RbTlBAu after structural relaxation.

Output
energy above the lowest structure with this stoichiometry: 0.0 meV per atom
uncorrected energy: -2.32 eV per atom
volume: 101 Å³/cell

Cell: 5.228 5.228 5.228 Å, 60.00 60.00 60.00°
Positions (direct):
Au  0.750  0.750  0.750
Tl  0.000  0.000  0.000
Rb  0.500  0.500  0.500
B  0.250  0.250  0.250

---

# 28
A plane-wave DFT calculation with PBE was carried out for RbTlBAu after structural relaxation.

Output
energy above the lowest structure with this stoichiometry: 101.4 meV per atom
uncorrected energy: -2.22 eV per atom
volume: 100 Å³/cell

Cell: 5.217 5.217 5.217 Å, 60.00 60.00 60.00°
Positions (direct):
Rb  0.500  0.500  0.500
B  0.000  0.000  0.000
Tl  0.250  0.250  0.250
Au  0.750  0.750  0.750

---

# 29
A plane-wave DFT calculation with PBE was carried out for ReB4Au after structural relaxation.

Output
energy above the lowest structure with this stoichiometry: 286.1 meV per atom
uncorrected energy: -6.46 eV per atom
volume: 58 Å³/cell

Cell: 4.755 4.755 4.755 Å, 142.50 115.01 77.52°
Positions (direct):
B  0.905  0.235  0.670
B  0.095  0.765  0.330
B  0.436  0.765  0.670
B  0.564  0.235  0.330
Re  0.500  0.500  0.000
Au  0.000  0.000  0.000

---

# 30
A plane-wave DFT calculation with PBE was carried out for ReB4Au after structural relaxation.

Output
energy above the lowest structure with this stoichiometry: 0.0 meV per atom
uncorrected energy: -6.75 eV per atom
volume: 70 Å³/cell

Cell: 2.897 2.897 9.654 Å, 90.00 90.00 120.00°
Positions (direct):
Re  0.000  0.000  0.000
Au  0.000  0.000  0.500
B  0.333  0.667  0.177
B  0.667  0.333  0.177
B  0.667  0.333  0.823
B  0.333  0.667  0.823